1 | First-principles (GGA-PBEsol) data for crystalline BaTcSe2 at its relaxed geometry, as listed in Alexandria via LeMat-Bulk.

Values from the calculation:
Magnetic moment (μB per atom): 1.22

Lattice parameters (Å, degrees): 4.9034 4.9034 23.9781 90.00 90.00 120.00
Closest atoms and distances in Å follow each position.
Space group R-3m (No. 166, hexagonal axes)
Symmetry-distinct sites (fractional):
Ba1 0.0000 0.0000 0.0000 (multiplicity 3)  6 Se 3.25
Tc1 0.0000 0.0000 0.5000 (multiplicity 3)  2 Se 2.41
Se1 0.0000 0.0000 0.3995 (multiplicity 6)  1 Tc 2.41


2 | First-principles (GGA-PBEsol) data for crystalline BaTcSe2 at its relaxed geometry, as listed in Alexandria via LeMat-Bulk.

Values from the calculation:
Magnetic moment (μB per atom): 0.00

Lattice parameters (Å, degrees): 3.2527 3.2527 8.8593 90.00 90.00 90.00
Closest atoms and distances in Å follow each position.
Space group P4mm (No. 99)
Symmetry-distinct sites (fractional):
Ba1 0.0000 0.0000 0.0000 (multiplicity 1)  4 Ba 3.25, 5 Se 3.27-3.56, 4 Tc 3.43
Tc1 0.5000 0.5000 0.7126 (multiplicity 1)  4 Se 2.51
Se1 0.0000 0.0000 0.5982 (multiplicity 1)  4 Tc 2.51
Se2 0.5000 0.5000 0.2616 (multiplicity 1)  4 Se 3.25, 4 Ba 3.27


Verdict on stability: 1 comes out at the bottom.